Entry from Alexandria: crystalline LaTiAuC2 at its relaxed geometry (PBE-GGA).

abc: 4.445 5.572 4.445
angles: 90.00 90.00 90.00
Site moments in Bohr magnetons follow the coordinates.
Fractional coordinates of all 5 atoms:
C1 0.000 0.000 0.500  0.01
C2 0.500 0.000 0.000  0.00
Ti1 0.500 0.500 0.500  -0.06
Au1 0.000 0.500 0.000  0.00
La1 0.000 0.000 0.000  0.01

## Properties
E_tot   -4.88 eV per atom
E_form   2025.4 meV per atom



Entry from Alexandria: crystalline LaY2AuC at its relaxed geometry (PBE-GGA).

abc: 4.831 4.831 5.271
angles: 90.00 90.00 90.00
Fractional coordinates of all 5 atoms:
Y1 0.000 0.500 0.000
Y2 0.500 0.000 0.000
C1 0.000 0.000 0.000
Au1 0.500 0.500 0.500
La1 0.000 0.000 0.500

## Properties
E_tot   -6.43 eV per atom
ΔE to the lowest computed polymorph   0 meV per atom
E_form   -363.1 meV per atom